1.
The following is a PBEsol calculation of a geometry-optimized Na3Cr2As3O12 structure, from Alexandria via LeMat-Bulk.

Computed properties:
Symmetry: Ia-3d (230)

a b c (Å): 10.5418 10.5418 10.5418
angles (deg): 109.47 109.47 109.47
With the nearest neighbours (Å) after each atom.
Sites, in units of the cell vectors:
Na 0.1250 0.2500 0.3750  8 O 2.39-2.52
Na 0.1250 0.3750 0.7500  8 O 2.39-2.52
Na 0.2500 0.3750 0.1250  8 O 2.39-2.52
Na 0.2500 0.8750 0.6250  8 O 2.39-2.52
Na 0.3750 0.1250 0.2500  8 O 2.39-2.52
Na 0.3750 0.7500 0.1250  8 O 2.39-2.52
Na 0.6250 0.2500 0.8750  8 O 2.39-2.52
Na 0.6250 0.8750 0.7500  8 O 2.39-2.52
Na 0.7500 0.1250 0.3750  8 O 2.39-2.52
Na 0.7500 0.6250 0.8750  8 O 2.39-2.52
Na 0.8750 0.6250 0.2500  8 O 2.39-2.52
Na 0.8750 0.7500 0.6250  8 O 2.39-2.52
Cr 0.0000 0.0000 0.0000  6 O 1.97
Cr 0.0000 0.0000 0.5000  6 O 1.97
Cr 0.0000 0.5000 0.0000  6 O 1.97
Cr 0.0000 0.5000 0.5000  6 O 1.97
Cr 0.5000 0.0000 0.0000  6 O 1.97
Cr 0.5000 0.0000 0.5000  6 O 1.97
Cr 0.5000 0.5000 0.0000  6 O 1.97
Cr 0.5000 0.5000 0.5000  6 O 1.97
As 0.1250 0.7500 0.8750  4 O 1.72
As 0.1250 0.8750 0.2500  4 O 1.72
As 0.2500 0.1250 0.8750  4 O 1.72
As 0.2500 0.6250 0.3750  4 O 1.72
As 0.3750 0.2500 0.6250  4 O 1.72
As 0.3750 0.6250 0.7500  4 O 1.72
As 0.6250 0.3750 0.2500  4 O 1.72
As 0.6250 0.7500 0.3750  4 O 1.72
As 0.7500 0.3750 0.6250  4 O 1.72
As 0.7500 0.8750 0.1250  4 O 1.72
As 0.8750 0.1250 0.7500  4 O 1.72
As 0.8750 0.2500 0.1250  4 O 1.72
O 0.0113 0.1986 0.1136  1 As 1.72
O 0.0113 0.3127 0.8977  1 As 1.72
O 0.0850 0.6986 0.6873  1 As 1.72
O 0.0850 0.8864 0.3977  1 As 1.72
O 0.1023 0.6136 0.4150  1 As 1.72
O 0.1023 0.9887 0.6873  1 As 1.72
O 0.1136 0.0113 0.1986  1 As 1.72
O 0.1136 0.6023 0.9150  1 As 1.72
O 0.1873 0.1986 0.5850  1 As 1.72
O 0.1873 0.4887 0.6023  1 As 1.72
O 0.1986 0.1136 0.0113  1 As 1.72
O 0.1986 0.5850 0.1873  1 As 1.72
O 0.3014 0.3127 0.9150  1 As 1.72
O 0.3014 0.4887 0.3864  1 As 1.72
O 0.3127 0.8977 0.0113  1 As 1.72
O 0.3127 0.9150 0.3014  1 As 1.72
O 0.3864 0.3014 0.4887  1 As 1.72
O 0.3864 0.5850 0.8977  1 As 1.72
O 0.3977 0.0850 0.8864  1 As 1.72
O 0.3977 0.8127 0.5113  1 As 1.72
O 0.4150 0.1023 0.6136  1 As 1.72
O 0.4150 0.8127 0.8014  1 As 1.72
O 0.4887 0.3864 0.3014  1 As 1.72
O 0.4887 0.6023 0.1873  1 As 1.72
O 0.5113 0.3977 0.8127  1 As 1.72
O 0.5113 0.6136 0.6986  1 As 1.72
O 0.5850 0.1873 0.1986  1 As 1.72
O 0.5850 0.8977 0.3864  1 As 1.72
O 0.6023 0.1873 0.4887  1 As 1.72
O 0.6023 0.9150 0.1136  1 As 1.72
O 0.6136 0.4150 0.1023  1 As 1.72
O 0.6136 0.6986 0.5113  1 As 1.72
O 0.6873 0.0850 0.6986  1 As 1.72
O 0.6873 0.1023 0.9887  1 As 1.72
O 0.6986 0.5113 0.6136  1 As 1.72
O 0.6986 0.6873 0.0850  1 As 1.72
O 0.8014 0.4150 0.8127  1 As 1.72
O 0.8014 0.8864 0.9887  1 As 1.72
O 0.8127 0.5113 0.3977  1 As 1.72
O 0.8127 0.8014 0.4150  1 As 1.72
O 0.8864 0.3977 0.0850  1 As 1.72
O 0.8864 0.9887 0.8014  1 As 1.72
O 0.8977 0.0113 0.3127  1 As 1.72
O 0.8977 0.3864 0.5850  1 As 1.72
O 0.9150 0.1136 0.6023  1 As 1.72
O 0.9150 0.3014 0.3127  1 As 1.72
O 0.9887 0.6873 0.1023  1 As 1.72
O 0.9887 0.8014 0.8864  1 As 1.72

2.
The following is a PBEsol calculation of a geometry-optimized CaMgGe structure, from Alexandria via LeMat-Bulk.

Computed properties:
Symmetry: Pnma (62)

a b c (Å): 7.4289 4.4159 8.3149
angles (deg): 90.00 90.00 90.00
With the nearest neighbours (Å) after each atom.
Sites, in units of the cell vectors:
Ca 0.0203 0.2500 0.1804  5 Ge 3.08-3.20, 3 Mg 3.31
Ca 0.4797 0.7500 0.6804  5 Ge 3.08-3.20, 3 Mg 3.31
Ca 0.5203 0.2500 0.3196  5 Ge 3.08-3.20, 3 Mg 3.31
Ca 0.9797 0.7500 0.8196  5 Ge 3.08-3.20, 3 Mg 3.31
Mg 0.1439 0.2500 0.5626  4 Ge 2.74-2.83
Mg 0.3561 0.7500 0.0626  4 Ge 2.74-2.83
Mg 0.6439 0.2500 0.9374  4 Ge 2.74-2.83
Mg 0.8561 0.7500 0.4374  4 Ge 2.74-2.83
Ge 0.2328 0.7500 0.3835  4 Mg 2.74-2.83
Ge 0.2672 0.2500 0.8835  4 Mg 2.74-2.83
Ge 0.7328 0.7500 0.1165  4 Mg 2.74-2.83
Ge 0.7672 0.2500 0.6165  4 Mg 2.74-2.83

3.
The following is a PBEsol calculation of a geometry-optimized SrLiRe structure, from Alexandria via LeMat-Bulk.

Computed properties:
Energy above the lowest structure with this stoichiometry in eV per atom: 1.0278
Symmetry: F-43m (216)

a b c (Å): 4.8150 4.8150 4.8150
angles (deg): 60.00 60.00 60.00
With the nearest neighbours (Å) after each atom.
Sites, in units of the cell vectors:
Sr 0.0000 0.0000 0.0000  4 Re 2.95, 4 Li 2.95
Li 0.7500 0.7500 0.7500  4 Sr 2.95
Re 0.2500 0.2500 0.2500  4 Sr 2.95

4.
The following is a PBEsol calculation of a geometry-optimized SrRu2Cl structure, from Alexandria via LeMat-Bulk.

Computed properties:
Energy above the lowest structure with this stoichiometry in eV per atom: 0.2946
Symmetry: P2/m (10)

a b c (Å): 3.2565 5.7172 4.2563
angles (deg): 90.00 90.41 90.00
With the nearest neighbours (Å) after each atom.
Sites, in units of the cell vectors:
Sr 0.0000 0.0000 0.0000  4 Cl 2.67-2.69
Ru 0.3350 0.5000 0.2476  2 Ru 2.37-2.40
Ru 0.6650 0.5000 0.7524  2 Ru 2.37-2.40
Cl 0.5000 0.0000 0.5000  4 Sr 2.67-2.69

5.
The following is a PBEsol calculation of a geometry-optimized K2NaAuF6 structure, from Alexandria via LeMat-Bulk.

Computed properties:
Symmetry: Fm-3m (225)

a b c (Å): 6.0736 6.0736 6.0736
angles (deg): 60.00 60.00 60.00
With the nearest neighbours (Å) after each atom.
Sites, in units of the cell vectors:
K 0.2500 0.2500 0.2500  12 F 3.04
K 0.7500 0.7500 0.7500  12 F 3.04
Na 0.0000 0.0000 0.0000  6 F 2.19
Au 0.5000 0.5000 0.5000  6 F 2.10
F 0.2553 0.2553 0.7447  1 Au 2.10, 1 Na 2.19
F 0.2553 0.7447 0.2553  1 Au 2.10, 1 Na 2.19
F 0.2553 0.7447 0.7447  1 Au 2.10, 1 Na 2.19
F 0.7447 0.2553 0.2553  1 Au 2.10, 1 Na 2.19
F 0.7447 0.2553 0.7447  1 Au 2.10, 1 Na 2.19
F 0.7447 0.7447 0.2553  1 Au 2.10, 1 Na 2.19

6.
The following is a PBEsol calculation of a geometry-optimized MnCdBr2 structure, from Alexandria via LeMat-Bulk.

Computed properties:
Energy above the lowest structure with this stoichiometry in eV per atom: 0.2918
Symmetry: Cmmm (65)

a b c (Å): 5.0397 5.0397 3.5022
angles (deg): 90.00 90.00 90.09
With the nearest neighbours (Å) after each atom.
Sites, in units of the cell vectors:
Mn 0.0000 0.0000 0.0000  8 Br 3.07
Cd 0.5000 0.5000 0.0000  8 Br 3.07
Br 0.0000 0.5000 0.5000  4 Cd 3.07, 4 Mn 3.07
Br 0.5000 0.0000 0.5000  4 Cd 3.07, 4 Mn 3.07

7.
The following is a PBEsol calculation of a geometry-optimized Sc3InCl structure, from Alexandria via LeMat-Bulk.

Computed properties:
Symmetry: Pm-3m (221)

a b c (Å): 4.7179 4.7179 4.7179
angles (deg): 90.00 90.00 90.00
With the nearest neighbours (Å) after each atom.
Sites, in units of the cell vectors:
Sc 0.0000 0.0000 0.5000  2 Cl 2.36
Sc 0.0000 0.5000 0.0000  2 Cl 2.36
Sc 0.5000 0.0000 0.0000  2 Cl 2.36
In 0.5000 0.5000 0.5000  12 Sc 3.34
Cl 0.0000 0.0000 0.0000  6 Sc 2.36

8.
The following is a PBEsol calculation of a geometry-optimized LaCrW structure, from Alexandria via LeMat-Bulk.

Computed properties:
Symmetry: I4mm (107)

a b c (Å): 6.2687 6.2687 6.2687
angles (deg): 151.09 151.09 41.35
With the nearest neighbours (Å) after each atom.
Sites, in units of the cell vectors:
La 0.0000 0.0000 0.0000  4 La 3.13, 4 Cr 3.22, 5 W 3.29-3.43
Cr 0.3011 0.3011 0.0000  4 W 2.47
W 0.7076 0.7076 0.0000  4 Cr 2.47

| no. | uncorrected energy (eV/cell) |
| --- | --- |
| 1 | -542.1 |
| 2 | -42.4 |
| 3 | -11.3 |
| 4 | -23.1 |
| 5 | -39.8 |
| 6 | -14.0 |
| 7 | -27.9 |
| 8 | -27.8 |